{
  "formula": "CoH2O2",
  "functional": "PBE with a Hubbard U",
  "state": "optimized geometry",
  "crystal_system": "orthorhombic",
  "sg": "P2_12_12_1",
  "vol_a3_per_atom": 9.9,
  "final_energy_ev_per_fu": -26.90,
  "lattice": [[4.7686, 0.0000, 0.0000], [0.0000, 5.1353, 0.0000], [0.0000, 0.0000, 8.0779]],
  "species": ["H", "Co", "O", "O", "H", "Co", "O", "H", "O", "H", "O", "Co", "O", "H", "H", "H", "O", "H", "O", "Co"],
  "frac_coords": [[0.1185, 0.3698, 0.7089], [0.4395, 0.6607, 0.8716], [0.1356, 0.9087, 0.9193], [0.2076, 0.6610, 0.2783], [0.6185, 0.1302, 0.2911], [0.9395, 0.8393, 0.1284], [0.6356, 0.5913, 0.0807], [0.6942, 0.4093, 0.1137], [0.7924, 0.1610, 0.2217], [0.8058, 0.5907, 0.6137], [0.7076, 0.8390, 0.7217], [0.0605, 0.3393, 0.3716], [0.8644, 0.4087, 0.5807], [0.3815, 0.6302, 0.2089], [0.3058, 0.9093, 0.3863], [0.8815, 0.8698, 0.7911], [0.2924, 0.3390, 0.7783], [0.1942, 0.0907, 0.8863], [0.3644, 0.0913, 0.4193], [0.5605, 0.1607, 0.6284]]
}